No. 1
DFT (PBE) results for a relaxed structure of TaGe2Ru.

```
TaGe2Ru
1.0
1.4507 0.8375 9.4156
-1.4507 0.8375 9.4156
0.0000 -1.6751 9.4156
Ta Ge Ru
1 2 1
Direct
0.0000 0.0000 0.0000
0.4132 0.4132 0.4132
0.5868 0.5868 0.5868
0.5000 0.5000 0.5000
```

Results
- formation energy (eV per formula unit) = 1.0

***

No. 2
DFT (PBE) results for a relaxed structure of Ta2Ge2Ru3.

```
Ta2Ge2Ru3
1.0
3.7222 -2.1505 0.0000
3.7222 2.1505 0.0000
-2.4880 0.0000 7.1987
Ta Ge Ru
2 2 3
Direct
0.1257 0.1257 0.3774
0.8743 0.8743 0.6226
0.3848 0.3848 0.1555
0.6152 0.6152 0.8445
0.0000 0.0000 0.0000
0.2481 0.2481 0.7443
0.7519 0.7519 0.2557
```

Results
- formation energy (eV per formula unit) = -1.6

***

No. 3
DFT (PBE) results for a relaxed structure of Ta3GeRu4.

```
Ta3GeRu4
1.0
3.3775 0.0000 0.0000
0.0000 4.2915 0.0000
0.0000 0.0000 8.5932
Ta Ge Ru
3 1 4
Direct
0.0000 0.0000 0.0000
0.0000 0.5000 0.2520
0.0000 0.5000 0.7480
0.0000 0.0000 0.5000
0.5000 0.0000 0.2553
0.5000 0.0000 0.7447
0.5000 0.5000 0.0000
0.5000 0.5000 0.5000
```

Results
- formation energy (eV per formula unit) = -2.7

***

No. 4
DFT (PBE) results for a relaxed structure of TaGeRu2.

```
TaGeRu2
1.0
3.0380 0.0000 0.0000
0.0000 3.0380 0.0000
0.0000 0.0000 6.4915
Ta Ge Ru
1 1 2
Direct
0.0000 0.0000 0.0000
0.0000 0.0000 0.5000
0.5000 0.5000 0.2697
0.5000 0.5000 0.7303
```

Results
- formation energy (eV per formula unit) = -1.2

***

No. 5
DFT (PBE) results for a relaxed structure of TaGeRu2.

```
TaGeRu2
1.0
-1.3839 2.3392 5.1042
1.3839 -2.3392 5.1042
1.3839 2.3392 -5.1042
Ta Ge Ru
1 1 2
Direct
0.0000 0.0000 0.0000
0.5000 0.5000 0.0000
0.2472 0.2472 0.0000
0.7528 0.7528 0.0000
```

Results
- formation energy (eV per formula unit) = 1.8

***

No. 6
DFT (PBE) results for a relaxed structure of TaGe2Ru.

```
TaGe2Ru
1.0
0.0000 3.1862 3.1862
3.1862 0.0000 3.1862
3.1862 3.1862 0.0000
Ta Ge Ru
1 2 1
Direct
0.0000 0.0000 0.0000
0.2500 0.2500 0.2500
0.7500 0.7500 0.7500
0.5000 0.5000 0.5000
```

Results
- formation energy (eV per formula unit) = 0.2

***

No. 7
DFT (PBE) results for a relaxed structure of TaGe2Ru4.

```
TaGe2Ru4
1.0
0.0000 4.2343 4.7086
2.6647 0.0000 4.7086
2.6647 4.2343 0.0000
Ta Ge Ru
1 2 4
Direct
0.0000 0.0000 0.0000
0.3065 0.3065 0.6935
0.6935 0.6935 0.3065
0.2500 0.2500 0.2500
0.3066 0.6934 0.3066
0.6934 0.3066 0.6934
0.7500 0.7500 0.7500
```

Results
- formation energy (eV per formula unit) = -0.1

***

No. 8
DFT (PBE) results for a relaxed structure of Ta5GeRu6.

```
Ta5GeRu6
1.0
-2.1594 3.3848 6.4326
2.1594 -3.3848 6.4326
2.1594 3.3848 -6.4326
Ta Ge Ru
5 1 6
Direct
0.0000 0.0000 0.0000
0.1520 0.6520 0.5000
0.3264 0.3264 0.0000
0.6736 0.6736 0.0000
0.8480 0.3480 0.5000
0.5000 0.0000 0.5000
0.0975 0.8329 0.2646
0.2761 0.5000 0.7761
0.4317 0.1671 0.2646
0.5683 0.8329 0.7354
0.7239 0.5000 0.2239
0.9025 0.1671 0.7354
```

Results
- formation energy (eV per formula unit) = -4.5

***

No. 9
DFT (PBE) results for a relaxed structure of Ta5Ge5Ru.

```
Ta5Ge5Ru
1.0
4.9966 -2.5326 0.0000
4.9966 2.5326 0.0000
-3.1302 0.0000 7.6649
Ta Ge Ru
5 5 1
Direct
0.0000 0.0000 0.0000
0.3087 0.3087 0.1272
0.3864 0.3864 0.7653
0.6136 0.6136 0.2347
0.6913 0.6913 0.8728
0.1394 0.1394 0.8014
0.2008 0.2008 0.3812
0.5000 0.5000 0.5000
0.7992 0.7992 0.6188
0.8606 0.8606 0.1986
0.0000 0.0000 0.5000
```

Results
- formation energy (eV per formula unit) = 1.9

***

No. 10
DFT (PBE) results for a relaxed structure of TaGeRu2.

```
TaGeRu2
1.0
4.2296 0.0000 0.0000
0.0000 4.2296 0.0000
0.0000 0.0000 3.3644
Ta Ge Ru
1 1 2
Direct
0.0000 0.0000 0.0000
0.5000 0.5000 0.0000
0.0000 0.5000 0.5000
0.5000 0.0000 0.5000
```

Results
- formation energy (eV per formula unit) = -1.3

***

No. 11
DFT (PBE) results for a relaxed structure of Ta2GeRu6.

```
Ta2GeRu6
1.0
6.5804 -2.9910 0.0000
6.5804 2.9910 0.0000
-1.3151 0.0000 3.9576
Ta Ge Ru
2 1 6
Direct
0.1657 0.1657 0.1675
0.8343 0.8343 0.8325
0.5000 0.5000 0.5000
0.0936 0.5806 0.3356
0.2615 0.7385 0.0000
0.4194 0.9064 0.6644
0.5806 0.0936 0.3356
0.7385 0.2615 0.0000
0.9064 0.4194 0.6644
```

Results
- formation energy (eV per formula unit) = 2.6

***

No. 12
DFT (PBE) results for a relaxed structure of Ta2GeTeRu.

```
Ta2GeTeRu
1.0
4.9889 0.0000 0.0000
0.0000 4.9889 0.0000
0.0000 0.0000 4.5779
Ta Ge Te Ru
2 1 1 1
Direct
0.0000 0.5000 0.0000
0.5000 0.0000 0.0000
0.0000 0.0000 0.5000
0.5000 0.5000 0.5000
0.0000 0.0000 0.0000
```

Results
- E_form (uncorrected) (eV per atom) = 0.723

***

| no. | Fermi-level density of states (states/eV/cell) | raw total energy (eV/atom) | total magnetization (μB/atom) |
| --- | --- | --- | --- |
| 1 | 3.94 | -7.334 | 0.147 |
| 2 | 3.21 | -8.917 | 0.000 |
| 3 | 4.87 | -9.992 | 0.000 |
| 4 | 3.19 | -9.060 | 0.000 |
| 5 | 4.83 | -8.303 | 0.000 |
| 6 | 3.25 | -7.538 | 0.357 |
| 7 | 5.29 | -8.332 | 0.000 |
| 8 | 9.59 | -10.339 | 0.000 |
| 9 | 7.78 | -8.156 | 0.000 |
| 10 | 1.43 | -9.069 | 0.000 |
| 11 | 12.22 | -9.044 | 0.000 |
| 12 | 5.43 | -7.425 | 0.000 |